PrDyPu | GGA-PBE | relaxed

a = 3.535 Å, b = 8.483 Å, c = 6.781 Å
α = 77.78°, β = 74.89°, γ = 77.98°
Site moments in Bohr magnetons follow the coordinates.
Fractional coordinates of all 6 atoms:
Pr: 0.609 0.170 0.612  0.07
Pr: 0.391 0.830 0.388  0.07
Pu: 0.121 0.838 0.920  5.64
Pu: 0.879 0.162 0.080  5.64
Dy: 0.855 0.527 0.762  0.15
Dy: 0.145 0.473 0.238  0.15

M_tot: 6.4 μB per formula unit
Energy above the lowest structure with this stoichiometry: 0.015 eV/atom
E_tot: -7.76 eV per atom

---

NbAlCu2Ni | GGA-PBE | relaxed

a = 4.287 Å, b = 4.248 Å, c = 4.287 Å
α = 90.00°, β = 90.00°, γ = 90.00°
Fractional coordinates of all 5 atoms:
Nb: 0.500 0.500 0.500
Cu: 0.000 0.000 0.500
Cu: 0.500 0.000 0.000
Al: 0.000 0.000 0.000
Ni: 0.000 0.500 0.000

M_tot: 0.0 μB per formula unit
E_tot: -4.85 eV per atom

---

Sr2Al3InGa4 | GGA-PBE | relaxed

a = 4.529 Å, b = 4.529 Å, c = 11.074 Å
α = 90.00°, β = 90.00°, γ = 90.00°
Fractional coordinates of all 10 atoms:
Al: 0.000 0.000 0.500
Al: 0.000 0.500 0.125
Al: 0.500 0.000 0.875
Ga: 0.000 0.500 0.357
Ga: 0.500 0.500 0.000
Ga: 0.000 0.000 0.000
Ga: 0.500 0.000 0.643
Sr: 0.500 0.000 0.241
Sr: 0.000 0.500 0.759
In: 0.500 0.500 0.500

M_tot: 0.0 μB per formula unit
E_tot: -3.28 eV per atom